Entry 1:
Entry from Alexandria via LeMat-Bulk: an optimized crystal structure of Ce2NdHo8 (PBE).

Unit cell a=10.029 b=10.029 c=5.486 alpha=92.51 beta=92.51 gamma=40.82
Element x y z (fractional)
Ce: 0.214 0.214 0.256
Ce: 0.786 0.786 0.744
Nd: 0.500 0.500 0.000
Ho: 0.047 0.047 0.240
Ho: 0.100 0.635 0.265
Ho: 0.313 0.313 0.766
Ho: 0.365 0.900 0.735
Ho: 0.635 0.100 0.265
Ho: 0.687 0.687 0.234
Ho: 0.900 0.365 0.735
Ho: 0.953 0.953 0.760

Computed properties:
M_tot ... 1.57 μB/cell
SG ... C2/m, No. 12
E ... -4.65 eV/atom
Crystal system ... monoclinic
Energy relative to the elements ... 0.20 eV per atom


Entry 2:
Entry from Alexandria via LeMat-Bulk: an optimized crystal structure of LiTaCoBi2 (PBE).

Unit cell a=5.167 b=5.167 c=4.607 alpha=90.00 beta=90.00 gamma=90.00
Element x y z (fractional)
Li: 0.000 0.000 0.000
Ta: 0.500 0.500 0.000
Co: 0.500 0.500 0.500
Bi: 0.000 0.500 0.500
Bi: 0.500 0.000 0.500

Computed properties:
M_tot ... 0.00 μB/cell
SG ... P4/mmm, No. 123
E ... -5.04 eV/atom
Crystal system ... tetragonal
Energy relative to the elements ... 0.69 eV per atom


Entry 3:
Entry from Alexandria via LeMat-Bulk: an optimized crystal structure of BaPtRh (PBE).

Unit cell a=5.658 b=5.658 c=5.658 alpha=120.24 beta=119.82 gamma=89.95
Element x y z (fractional)
Ba: 0.376 0.126 0.250
Ba: 0.624 0.874 0.750
Pt: 0.000 0.000 0.500
Pt: 0.000 0.500 0.000
Rh: 0.000 0.500 0.500
Rh: 0.500 0.500 0.000

Computed properties:
M_tot ... 0.00 μB/cell
SG ... Imma, No. 74
E ... -5.56 eV/atom
Crystal system ... orthorhombic
Energy relative to the elements ... -0.46 eV per atom